Entry from Alexandria: crystalline BaTaTlI2 at its relaxed geometry (PBE-GGA).

POSCAR file:
```
BaTaTlI2
1.0
6.5282 0.0000 0.0000
0.0000 6.5282 0.0000
0.0000 0.0000 7.3199
Ba Ta Tl I
1 1 1 2
Cartesian
0.0000 0.0000 0.0000
3.2641 3.2641 3.6600
0.0000 0.0000 3.6600
0.0000 3.2641 0.0000
3.2641 0.0000 0.0000
```

Output
Formation energy from raw total energies ... 0.88 eV per atom
Total magnetic moment ... 3.26 μB per formula unit
DOS at the Fermi energy ... 3.116 states/eV per atom
Space group ... No. 123